Computed, not measured: an optimized crystal structure of Cs2SiIrCl6 at the PBE level of DFT. Values from VASP.

Values from the calculation:
DOS(E_F)   5.0 states/eV per cell
Formation energy without anion corrections   -0.96 eV/atom

The structure in Quantum ESPRESSO input format:
```
&SYSTEM
  ibrav = 0, nat = 10, ntyp = 4
/
ATOMIC_SPECIES
Cl 35.45 Cl.upf
Ir 192.22 Ir.upf
Si 28.09 Si.upf
Cs 132.91 Cs.upf
CELL_PARAMETERS angstrom
7.1952 0.0000 0.0000
0.0000 7.1952 0.0000
3.5976 3.5976 5.1076
ATOMIC_POSITIONS angstrom
Cl 5.4510 5.4510 0.0000
Ir 0.0000 0.0000 0.0000
Cl 7.1952 7.1952 2.4724
Cl 1.7442 1.7442 0.0000
Si 3.5976 3.5976 0.0000
Cl 1.7442 5.4510 0.0000
Cl 3.5976 3.5976 2.6352
Cs 3.5976 7.1952 2.5538
Cl 5.4510 1.7442 0.0000
Cs 7.1952 3.5976 2.5538
```

***

Computed, not measured: an optimized crystal structure of CsSiIr2Cl at the PBE level of DFT. Values from VASP.

Values from the calculation:
DOS(E_F)   6.7 states/eV per cell
Formation energy without anion corrections   0.37 eV/atom

The structure in Quantum ESPRESSO input format:
```
&SYSTEM
  ibrav = 0, nat = 5, ntyp = 4
/
ATOMIC_SPECIES
Ir 192.22 Ir.upf
Cs 132.91 Cs.upf
Cl 35.45 Cl.upf
Si 28.09 Si.upf
CELL_PARAMETERS angstrom
-1.1074 0.6501 -4.3161
-7.4955 -4.8580 1.1914
-2.2409 3.7365 1.1378
ATOMIC_POSITIONS angstrom
Ir -0.5537 0.3251 -2.1580
Cs -3.7478 -2.4290 0.5957
Cl -5.4219 -0.2357 -0.9935
Ir -1.1204 1.8683 0.5689
Si 0.0000 0.0000 0.0000
```

***

Number 1: calculated total energy -3.66 eV per atom. Number 2: calculated total energy -4.80 eV per atom.